# 1
Sr2NdZn, optimized geometry, DFT PBE-GGA; space-group type = R-3m; total moment = 0.40 Bohr magnetons per cell; final energy = -2.11 eV/atom; formation energy = 93 kJ/mol of formula units; crystal system = trigonal; excess energy over the best structure of this formula in the dataset = 0.2275 eV per atom
1.0
-1.754 2.865 1.888
-3.588 -0.476 1.323
2.650 -3.413 11.571
Zn Nd Sr
1 1 2
Cartesian
-1.346 -0.512 7.391
0.000 0.000 0.000
-3.990 1.105 6.414
1.298 -2.129 8.368


# 2
Sr2NdZn, optimized geometry, DFT PBE-GGA; space-group type = P4/mmm; total moment = 0.00 Bohr magnetons per cell; final energy = -2.34 eV/atom; formation energy = 5 kJ/mol of formula units; crystal system = tetragonal; excess energy over the best structure of this formula in the dataset = 0.0000 eV per atom
1.0
-0.704 -3.719 0.355
2.641 -0.240 2.724
-6.983 1.985 6.946
Sr Nd Zn
2 1 1
Cartesian
-1.388 0.395 1.381
-5.595 1.591 5.565
-2.523 -0.987 5.013
0.969 -1.979 1.540


# 3
SrNd2Zn, optimized geometry, DFT PBE-GGA; space-group type = P4/mmm; total moment = 0.00 Bohr magnetons per cell; final energy = -3.19 eV/atom; formation energy = -27 kJ/mol of formula units; crystal system = tetragonal; excess energy over the best structure of this formula in the dataset = 0.0000 eV per atom
1.0
3.801 0.000 0.000
0.000 3.801 0.000
0.000 0.000 9.468
Sr Zn Nd
1 1 2
Cartesian
1.900 1.900 4.734
1.900 1.900 0.000
0.000 0.000 1.695
0.000 0.000 7.773


# 4
SrNd2Zn9, optimized geometry, DFT PBE-GGA; space-group type = R-3m; total moment = 0.00 Bohr magnetons per cell; final energy = -2.15 eV/atom; formation energy = -296 kJ/mol of formula units; crystal system = trigonal
1.0
-3.642 2.192 3.696
-4.982 -2.484 0.857
0.628 -4.941 7.842
Zn Nd Sr
9 2 1
Cartesian
-5.732 -0.219 3.067
-2.723 -5.003 6.692
-4.570 -3.891 8.567
-3.998 -2.616 6.197
-5.274 -0.230 5.702
-5.953 -2.602 4.262
-2.265 -5.014 9.328
-2.043 -2.631 8.132
-3.426 -1.342 3.827
-7.136 -2.350 7.240
-0.861 -2.883 5.155
0.000 0.000 0.000


# 5
SrNdZn, optimized geometry, DFT PBE-GGA; space-group type = P3m1; total moment = 0.00 Bohr magnetons per cell; final energy = -2.51 eV/atom; formation energy = 18 kJ/mol of formula units; crystal system = trigonal; excess energy over the best structure of this formula in the dataset = 0.1923 eV per atom
1.0
-2.501 -0.896 3.331
-0.613 -4.890 -1.775
3.940 1.128 3.262
Nd Sr Zn
1 1 1
Cartesian
-0.361 -0.129 0.481
-0.731 -3.470 2.083
1.919 -1.058 2.253


# 6
SrNd2Zn6, optimized geometry, DFT PBE-GGA; space-group type = P6/mmm; total moment = 0.00 Bohr magnetons per cell; final energy = -2.39 eV/atom; formation energy = -254 kJ/mol of formula units; crystal system = hexagonal
1.0
3.720 0.102 -0.154
-0.353 6.930 -3.932
0.334 -0.051 7.970
Zn Nd Sr
6 2 1
Cartesian
1.849 4.615 2.602
1.730 6.947 1.279
1.960 4.598 5.285
1.971 0.034 2.606
1.853 2.366 1.283
2.076 2.333 6.570
-0.122 4.603 0.035
3.823 2.378 3.849
0.000 0.000 0.000


# 7
Sr2NdZn6, optimized geometry, DFT PBE-GGA; space-group type = P6/mmm; total moment = 0.00 Bohr magnetons per cell; final energy = -2.01 eV/atom; formation energy = -219 kJ/mol of formula units; crystal system = hexagonal
1.0
-3.222 -2.180 -0.780
2.057 -5.095 5.738
-4.626 6.232 1.693
Zn Nd Sr
6 1 2
Cartesian
-4.712 3.088 0.745
-4.858 1.727 5.150
-2.458 -0.715 2.059
-0.933 -2.769 1.501
-3.333 -0.327 4.592
-3.136 0.964 0.168
-4.626 6.232 1.693
-2.399 2.457 3.041
-3.392 -3.498 3.610


# 8
SrNd2Zn8, optimized geometry, DFT PBE-GGA; space-group type = Immm; total moment = 0.00 Bohr magnetons per cell; final energy = -2.21 eV/atom; formation energy = -275 kJ/mol of formula units; crystal system = orthorhombic
1.0
4.790 -0.006 -1.294
-0.699 5.557 -2.603
-0.252 0.553 8.572
Nd Zn Sr
2 8 1
Cartesian
1.100 2.042 4.064
2.738 4.062 0.612
3.924 0.975 5.002
-0.085 5.129 -0.326
0.296 2.118 1.084
3.117 1.337 2.020
3.543 3.986 3.592
0.823 2.774 -1.617
3.268 2.777 -2.280
0.722 4.767 2.656
2.395 -0.003 -0.647


# 9
SrNd3Zn4, optimized geometry, DFT PBE-GGA; space-group type = P4/mmm; total moment = 0.01 Bohr magnetons per cell; final energy = -2.89 eV/atom; formation energy = -198 kJ/mol of formula units; crystal system = tetragonal
1.0
5.267 0.000 0.000
0.000 7.492 0.000
0.000 0.000 10.534
Zn Nd Sr
8 6 2
Cartesian
5.263 1.791 7.900
5.263 5.701 7.900
0.004 5.701 2.633
2.633 5.700 0.000
2.633 5.700 5.267
0.004 1.791 2.633
2.633 1.791 0.000
2.633 1.791 5.267
2.636 0.000 2.633
0.000 0.000 5.267
2.631 3.746 7.900
0.000 0.000 0.000
2.635 3.746 2.633
2.630 0.000 7.900
0.000 3.746 0.000
0.000 3.746 5.267


# 10
SrNd2Zn3, optimized geometry, DFT PBE-GGA; space-group type = P4/mmm; total moment = 0.00 Bohr magnetons per cell; final energy = -2.77 eV/atom; formation energy = -155 kJ/mol of formula units; crystal system = tetragonal
1.0
-2.716 1.706 -1.927
-2.556 -1.455 2.313
0.927 9.085 6.741
Zn Sr Nd
3 1 2
Cartesian
0.638 6.253 4.640
0.000 0.000 0.000
0.289 2.832 2.101
-2.172 4.668 3.564
-2.488 1.569 1.264
-1.856 7.767 5.863


# 11
SrNd2Zn, optimized geometry, DFT PBE-GGA; space-group type = R3m; total moment = 0.00 Bohr magnetons per cell; final energy = -2.97 eV/atom; formation energy = 58 kJ/mol of formula units; crystal system = trigonal; excess energy over the best structure of this formula in the dataset = 0.2196 eV per atom
1.0
-2.159 4.206 -0.420
-2.796 0.870 -3.735
-7.735 -1.040 2.534
Zn Nd Sr
1 2 1
Cartesian
-11.009 2.357 -0.255
-2.594 1.269 -0.778
-6.767 -0.605 1.910
-6.399 1.993 -0.775


# 12
Sr4NdZn5, optimized geometry, DFT PBE-GGA; space-group type = P4/mmm; total moment = 0.14 Bohr magnetons per cell; final energy = -1.99 eV/atom; formation energy = -197 kJ/mol of formula units; crystal system = tetragonal
1.0
3.843 0.000 0.000
0.000 3.843 0.000
0.000 0.000 19.442
Zn Sr Nd
5 4 1
Cartesian
1.921 1.921 17.781
1.921 1.921 1.661
1.921 1.921 13.694
1.921 1.921 5.748
1.921 1.921 9.721
0.000 0.000 11.719
0.000 0.000 3.756
0.000 0.000 7.723
0.000 0.000 15.686
0.000 0.000 0.000